Crystalline Ba4RhO at its relaxed geometry, computed with GGA-PBE.

The structure in extended XYZ format:
```
6
Lattice="-3.263 -0.800 2.719 4.321 -4.680 3.809 1.945 5.953 4.085" Properties=species:S:1:pos:R:3 pbc="T T T"
Rh -0.659 2.577 3.402
O 0.000 0.000 0.000
Ba 4.702 0.421 5.766
Ba 0.921 3.746 5.643
Ba 1.564 0.852 2.128
Ba 2.081 -3.272 4.970
```

Results
For the volume, the calculation gives 239.25 Å³/cell. The value obtained for the energy relative to the lowest polymorph listed for this composition is 0.0000 eV per atom.